Below is a relaxed LiPmNdGa crystal, with properties calculated at the PBE-GGA level.

abc: 5.2429 5.2429 5.2429
angles: 60.00 60.00 60.00
With the nearest neighbours (Å) after each atom.
Fractional positions:
Nd: 0.5000 0.5000 0.5000  4 Ga 3.21, 4 Li 3.21
Pm: 0.0000 0.0000 0.0000  4 Li 3.21, 4 Ga 3.21
Ga: 0.2500 0.2500 0.2500  4 Nd 3.21, 4 Pm 3.21
Li: 0.7500 0.7500 0.7500  4 Nd 3.21, 4 Pm 3.21



Below is a relaxed Li2PrNd2Ga2 crystal, with properties calculated at the PBE-GGA level.

abc: 4.7333 4.7333 9.3298
angles: 75.31 75.31 60.00
With the nearest neighbours (Å) after each atom.
Fractional positions:
Pr: 0.0000 0.0000 0.0000  6 Li 3.21, 6 Ga 3.33, 2 Nd 3.39
Ga: 0.7380 0.7380 0.7860  3 Li 2.74
Ga: 0.2620 0.2620 0.2140  3 Li 2.74
Li: 0.3963 0.3963 0.8110  3 Ga 2.74
Li: 0.6037 0.6037 0.1890  3 Ga 2.74
Nd: 0.1268 0.1268 0.6195  3 Ga 3.11, 3 Li 3.22, 1 Pr 3.39, 3 Nd 3.47
Nd: 0.8732 0.8732 0.3805  3 Ga 3.11, 3 Li 3.22, 1 Pr 3.39, 3 Nd 3.47



Below is a relaxed LiNdGaPt2 crystal, with properties calculated at the PBE-GGA level.

abc: 3.9277 3.9277 6.7662
angles: 106.87 106.87 90.00
With the nearest neighbours (Å) after each atom.
Fractional positions:
Pt: 0.3874 0.3874 0.7749  2 Ga 2.59, 2 Li 2.59, 1 Pt 2.78
Pt: 0.6126 0.6126 0.2251  2 Li 2.59, 2 Ga 2.59, 1 Pt 2.78
Nd: 0.0000 0.0000 0.0000  8 Pt 3.11
Li: 0.7500 0.2500 0.5000  4 Pt 2.59, 4 Ga 2.78
Ga: 0.2500 0.7500 0.5000  4 Pt 2.59, 4 Li 2.78



Below is a relaxed LiNdGa2Pt crystal, with properties calculated at the PBE-GGA level.

abc: 4.3349 4.3349 5.9794
angles: 111.25 111.25 90.00
With the nearest neighbours (Å) after each atom.
Fractional positions:
Li: 0.2500 0.7500 0.5000  4 Ga 2.53
Ga: 0.6230 0.6230 0.2460  1 Ga 2.53, 2 Li 2.53, 2 Pt 2.53
Ga: 0.3770 0.3770 0.7540  1 Ga 2.53, 2 Li 2.53, 2 Pt 2.53
Pt: 0.7500 0.2500 0.5000  4 Ga 2.53
Nd: 0.0000 0.0000 0.0000  8 Ga 3.32, 4 Pt 3.36, 4 Li 3.36



Below is a relaxed LiNd2Ga3Pt4 crystal, with properties calculated at the PBE-GGA level.

abc: 4.1211 4.1211 11.2355
angles: 90.00 90.00 90.00
With the nearest neighbours (Å) after each atom.
Fractional positions:
Ga: 0.5000 0.0000 0.8676  5 Pt 2.53-2.54
Ga: 0.0000 0.5000 0.1324  5 Pt 2.53-2.54
Ga: 0.0000 0.0000 0.5000  4 Pt 2.61, 4 Li 2.91
Pt: 0.5000 0.5000 0.0000  4 Ga 2.54
Pt: 0.0000 0.5000 0.3579  3 Ga 2.53-2.61, 2 Li 2.61
Pt: 0.0000 0.0000 0.0000  4 Ga 2.54
Pt: 0.5000 0.0000 0.6421  3 Ga 2.53-2.61, 2 Li 2.61
Nd: 0.5000 0.0000 0.2504  8 Pt 3.15-3.49, 6 Ga 3.20-3.48, 2 Li 3.48
Nd: 0.0000 0.5000 0.7496  8 Pt 3.15-3.49, 6 Ga 3.20-3.48, 2 Li 3.48
Li: 0.5000 0.5000 0.5000  4 Pt 2.61, 4 Ga 2.91



Below is a relaxed LiNdGa2Pt4 crystal, with properties calculated at the PBE-GGA level.

abc: 4.3099 4.3099 8.9105
angles: 76.00 76.00 60.00
With the nearest neighbours (Å) after each atom.
Fractional positions:
Ga: 0.7626 0.7626 0.7121  7 Pt 2.57-2.68
Ga: 0.2374 0.2374 0.2879  7 Pt 2.57-2.68
Pt: 0.8671 0.8671 0.3986  3 Li 2.64, 4 Ga 2.66-2.68, 3 Pt 2.95
Pt: 0.4046 0.4046 0.7863  1 Li 2.45, 3 Ga 2.57
Pt: 0.5954 0.5954 0.2137  1 Li 2.45, 3 Ga 2.57
Pt: 0.1329 0.1329 0.6014  3 Li 2.64, 4 Ga 2.66-2.68, 3 Pt 2.95
Nd: 0.0000 0.0000 0.0000  8 Pt 3.09-3.41
Li: 0.5000 0.5000 0.5000  8 Pt 2.45-2.64



Below is a relaxed LiNdGa2Pt5 crystal, with properties calculated at the PBE-GGA level.

abc: 4.1364 4.1364 9.6553
angles: 90.00 90.00 90.00
With the nearest neighbours (Å) after each atom.
Fractional positions:
Li: 0.0000 0.0000 0.0000  8 Ga 3.17, 8 Pt 3.34
Pt: 0.0000 0.5000 0.7281  2 Ga 2.49
Pt: 0.5000 0.0000 0.7281  2 Ga 2.49
Pt: 0.5000 0.5000 0.5000  4 Nd 2.92, 8 Pt 3.02
Pt: 0.0000 0.5000 0.2719  2 Ga 2.49
Pt: 0.5000 0.0000 0.2719  2 Ga 2.49
Ga: 0.5000 0.5000 0.1279  1 Ga 2.47, 4 Pt 2.49
Ga: 0.5000 0.5000 0.8721  1 Ga 2.47, 4 Pt 2.49
Nd: 0.0000 0.0000 0.5000  12 Pt 2.92-3.02



Below is a relaxed LiNd2Ga4Pt3 crystal, with properties calculated at the PBE-GGA level.

abc: 4.2734 4.2734 10.6482
angles: 90.00 90.00 90.00
With the nearest neighbours (Å) after each atom.
Fractional positions:
Ga: 0.5000 0.0000 0.6300  3 Pt 2.51-2.55, 2 Li 2.55
Ga: 0.0000 0.0000 0.0000  4 Pt 2.57
Ga: 0.0000 0.5000 0.3700  3 Pt 2.51-2.55, 2 Li 2.55
Ga: 0.5000 0.5000 0.0000  4 Pt 2.57
Pt: 0.5000 0.0000 0.8656  5 Ga 2.51-2.57
Pt: 0.0000 0.0000 0.5000  4 Ga 2.55
Pt: 0.0000 0.5000 0.1344  5 Ga 2.51-2.57
Nd: 0.5000 0.0000 0.2416  6 Pt 3.23-3.48, 8 Ga 3.32-3.34, 2 Li 3.48
Nd: 0.0000 0.5000 0.7584  6 Pt 3.23-3.48, 8 Ga 3.32-3.34, 2 Li 3.48
Li: 0.5000 0.5000 0.5000  4 Ga 2.55



Below is a relaxed LiNd2Ga3Rh4 crystal, with properties calculated at the PBE-GGA level.

abc: 4.2284 4.2284 10.3233
angles: 90.00 90.00 90.00
With the nearest neighbours (Å) after each atom.
Fractional positions:
Ga: 0.0000 0.0000 0.5000  4 Rh 2.53
Ga: 0.0000 0.5000 0.1257  5 Rh 2.48
Ga: 0.5000 0.0000 0.8743  5 Rh 2.48
Li: 0.5000 0.5000 0.5000  4 Rh 2.53
Nd: 0.0000 0.5000 0.7541  8 Rh 3.24-3.30, 6 Ga 3.24-3.37, 2 Li 3.37
Nd: 0.5000 0.0000 0.2459  8 Rh 3.24-3.30, 6 Ga 3.24-3.37, 2 Li 3.37
Rh: 0.0000 0.0000 0.0000  4 Ga 2.48
Rh: 0.5000 0.5000 0.0000  4 Ga 2.48
Rh: 0.0000 0.5000 0.3656  3 Ga 2.48-2.53, 2 Li 2.53
Rh: 0.5000 0.0000 0.6344  3 Ga 2.48-2.53, 2 Li 2.53



Below is a relaxed LiNd2Ga4Rh3 crystal, with properties calculated at the PBE-GGA level.

abc: 4.3511 4.3511 9.9883
angles: 90.00 90.00 90.00
With the nearest neighbours (Å) after each atom.
Fractional positions:
Ga: 0.0000 0.5000 0.3761  3 Rh 2.47-2.50, 2 Li 2.50
Ga: 0.5000 0.0000 0.6239  3 Rh 2.47-2.50, 2 Li 2.50
Ga: 0.0000 0.0000 0.0000  4 Rh 2.53
Ga: 0.5000 0.5000 0.0000  4 Rh 2.53
Nd: 0.5000 0.0000 0.2508  2 Li 3.31, 6 Rh 3.31, 8 Ga 3.32
Nd: 0.0000 0.5000 0.7492  2 Li 3.31, 6 Rh 3.31, 8 Ga 3.32
Rh: 0.0000 0.0000 0.5000  4 Ga 2.50
Rh: 0.5000 0.0000 0.8713  5 Ga 2.47-2.53
Rh: 0.0000 0.5000 0.1287  5 Ga 2.47-2.53
Li: 0.5000 0.5000 0.5000  4 Ga 2.50



Below is a relaxed LiNdGaRh crystal, with properties calculated at the PBE-GGA level.

abc: 4.7126 4.7126 4.7126
angles: 60.00 60.00 60.00
With the nearest neighbours (Å) after each atom.
Fractional positions:
Li: 0.5000 0.5000 0.5000  4 Nd 2.89, 4 Ga 2.89
Ga: 0.2500 0.2500 0.2500  4 Li 2.89, 4 Rh 2.89
Nd: 0.7500 0.7500 0.7500  4 Li 2.89, 4 Rh 2.89
Rh: 0.0000 0.0000 0.0000  4 Nd 2.89, 4 Ga 2.89



Below is a relaxed LiNdGaRu crystal, with properties calculated at the PBE-GGA level.

abc: 4.6973 4.6973 4.6973
angles: 60.00 60.00 60.00
With the nearest neighbours (Å) after each atom.
Fractional positions:
Li: 0.2500 0.2500 0.2500  4 Nd 2.88, 4 Ga 2.88
Ga: 0.0000 0.0000 0.0000  4 Li 2.88, 4 Ru 2.88
Ru: 0.7500 0.7500 0.7500  4 Nd 2.88, 4 Ga 2.88
Nd: 0.5000 0.5000 0.5000  4 Ru 2.88, 4 Li 2.88



no.,E (eV/atom),calculated formation energy (kJ/mol of formula units)
1,-3.91,-115
2,-3.75,-195
3,-5.27,-439
4,-4.45,-333
5,-5.40,-901
6,-5.45,-649
7,-5.47,-607
8,-5.04,-841
9,-5.72,-701
10,-5.24,-655
11,-4.75,-185
12,-4.96,-82